w) K2RuAu, relaxed, DFT PBE; space group = R-3m (166)
1.0
11.1726 -0.0345 -0.0202
10.7481 3.0508 -0.0202
10.7481 1.4789 2.6684
Ru K Au
1 2 1
direct
0.7500 0.7500 0.7500
0.4992 0.4992 0.4992
0.0008 0.0008 0.0008
0.2500 0.2500 0.2500



x) K2RuAu, relaxed, DFT PBE; space group = Fm-3m (225)
1.0
0.0000 3.9266 3.9266
3.9266 0.0000 3.9266
3.9266 3.9266 0.0000
Au K Ru
1 2 1
direct
0.5000 0.5000 0.5000
0.2500 0.2500 0.2500
0.7500 0.7500 0.7500
0.0000 0.0000 0.0000



y) K2RuAu, relaxed, DFT PBE; space group = Cmmm (65)
1.0
2.9783 -0.0063 0.0000
0.0189 2.9782 0.0000
0.0000 0.0000 10.6625
K Ru Au
2 1 1
direct
0.0000 0.0000 0.4962
0.0000 0.0000 0.0038
0.5000 0.5000 0.2500
0.5000 0.5000 0.7500



Best to worst by energy: y), w), x).



w) K2RuAu, relaxed, DFT PBE; space group = I4/mmm (139)
1.0
-2.7083 -4.4034 -3.2330
1.9509 -1.4536 -5.5910
2.2548 0.9084 5.5918
Au K Ru
1 2 1
direct
0.7500 0.2500 0.5000
0.0000 0.0000 0.0000
0.5000 0.5000 0.0000
0.2500 0.7500 0.5000



x) K2RuAu, relaxed, DFT PBE; space group = Imm2 (44)
1.0
5.9858 -0.0244 -0.0069
1.4794 5.8001 0.0069
-3.2544 -3.5059 3.5983
K Ru Au
2 1 1
direct
0.7269 0.2269 0.5000
0.0270 0.0270 0.0000
0.4267 0.4267 0.0000
0.3194 0.8194 0.5000



y) K2RuAu, relaxed, DFT PBE; space group = Pm (6)
1.0
4.1664 0.0000 0.0000
0.0000 3.1102 0.2188
0.0000 2.3833 10.0622
Au K Ru
1 2 1
direct
0.5000 0.8364 0.6637
0.5000 0.1634 0.3384
0.0000 0.0911 0.9070
0.0000 0.4090 0.5908



Best to worst by energy: y), x), w).



w) K2RuAu, relaxed, DFT PBE; space group = Pmmm (47)
1.0
4.2335 0.0000 0.0000
0.0000 4.2513 0.0000
0.0000 0.0000 5.3137
K Ru Au
2 1 1
direct
0.5000 0.5000 0.0000
0.0000 0.0000 0.0000
0.5000 0.0000 0.5000
0.0000 0.5000 0.5000



x) K2RuAu, relaxed, DFT PBE; space group = P2/m (10)
1.0
-2.1976 -1.7060 4.5328
0.3013 -2.6770 -0.8615
5.8389 -2.7888 1.7812
K Au Ru
2 1 1
direct
0.0000 0.9976 0.0029
0.0000 0.5024 0.4971
0.5000 0.7500 0.7500
0.5000 0.2500 0.2500



Best to worst by energy: x), w).



w) K2Au2S, relaxed, DFT PBE; space group = I4/mmm (139)
1.0
-1.0078 2.8826 -5.7100
-5.5461 -3.2735 -0.6737
-5.0933 2.5326 -1.4941
K Au S
2 2 1
direct
0.2500 0.7500 0.5000
0.7500 0.2500 0.5000
0.6746 0.6746 0.6508
0.3254 0.3254 0.3492
0.0000 0.0000 0.0000



x) K2Au2S, relaxed, DFT PBE; space group = P4/mbm (127)
1.0
7.2789 0.0000 0.0000
0.0000 7.2789 0.0000
0.0000 0.0000 5.0005
S Au K
2 4 4
direct
0.0000 0.0000 0.0000
0.5000 0.5000 0.0000
0.8665 0.6335 0.0000
0.1335 0.3665 0.0000
0.3665 0.8665 0.0000
0.6335 0.1335 0.0000
0.1799 0.6799 0.5000
0.6799 0.8201 0.5000
0.3201 0.1799 0.5000
0.8201 0.3201 0.5000



Best to worst by energy: w), x).



w) K2TiAuS, relaxed, DFT PBE; space group = P4/mmm (123)
1.0
-1.9437 -3.6537 -4.8243
-1.7719 -3.3187 3.2273
-5.6089 2.9901 -0.0047
K Au S Ti
2 1 1 1
direct
0.5000 0.0000 0.0000
0.0000 0.0000 0.5000
0.0000 0.5000 0.0000
0.5000 0.5000 0.5000
0.0000 0.0000 0.0000



x) K2TiAuS, relaxed, DFT PBE; space group = P4/mmm (123)
1.0
5.9090 0.0000 0.0000
0.0000 5.1958 0.0000
0.0000 0.0000 5.9090
K Au S Ti
2 1 1 1
direct
0.0000 0.0000 0.5000
0.5000 0.0000 0.0000
0.0000 0.0000 0.0000
0.5000 0.5000 0.5000
0.0000 0.5000 0.0000



Best to worst by energy: x), w).



w) KSb3Au, relaxed, DFT PBE; space group = Cmcm (63)
1.0
6.5981 -0.1797 0.0000
2.2477 6.2055 0.0000
0.0000 -0.0001 7.3403
Sb Au K
6 2 2
direct
0.0068 0.7564 0.3024
0.0068 0.7564 0.8024
0.1606 0.3632 0.5524
0.5538 0.2092 0.8024
0.5538 0.2093 0.3024
0.4000 0.6024 0.0524
0.6642 0.8666 0.0524
0.8964 0.0991 0.5524
0.0386 0.2413 0.0524
0.5220 0.7244 0.5524



x) KSb3Au, relaxed, DFT PBE; space group = Pm-3m (221)
1.0
-3.0431 2.1355 4.1197
-4.5409 -2.3845 -2.1183
0.9551 -4.5329 3.0551
Sb Au K
3 1 1
direct
0.0000 0.5000 0.0000
0.0000 0.0000 0.5000
0.5000 0.0000 0.0000
0.0000 0.0000 0.0000
0.5000 0.5000 0.5000



y) KSb3Au, relaxed, DFT PBE; space group = Pm-3m (221)
1.0
-2.5636 -0.9157 5.1353
-2.3639 -4.8967 -2.0533
4.6499 -2.9942 1.7873
Sb K Au
3 1 1
direct
0.5000 0.0000 0.0000
0.0000 0.0000 0.5000
0.0000 0.5000 0.0000
0.0000 0.0000 0.0000
0.5000 0.5000 0.5000



z) KSb3Au, relaxed, DFT PBE; space group = Cmmm (65)
1.0
4.9486 0.0000 0.0000
0.0000 5.0257 -0.9654
0.0000 -0.1685 12.6865
Sb Au K
6 2 2
direct
0.0000 0.9421 0.8843
0.5000 0.4421 0.8842
0.5000 0.5579 0.1158
0.0000 0.2772 0.5545
0.0000 0.0579 0.1157
0.0000 0.7228 0.4455
0.0000 0.3856 0.7713
0.0000 0.6144 0.2287
0.5000 0.8301 0.6603
0.5000 0.1699 0.3397



Best to worst by energy: w), z), x), y).



w) KSb3Au3, relaxed, DFT PBE; space group = R-3 (148)
1.0
8.0686 0.0000 0.0000
4.0343 6.9876 0.0000
4.0343 2.3292 8.0490
Au K Sb
6 2 6
direct
0.1115 0.4699 0.6691
0.8885 0.5301 0.3309
0.7495 0.1115 0.6691
0.2505 0.8885 0.3309
0.4699 0.7495 0.6691
0.5301 0.2505 0.3309
0.3325 0.3325 0.0025
0.6675 0.6675 0.9975
0.5854 0.8952 0.3169
0.2026 0.5854 0.3169
0.8952 0.2026 0.3169
0.7974 0.4146 0.6831
0.4146 0.1048 0.6831
0.1048 0.7974 0.6831



x) KSb3Au3, relaxed, DFT PBE; space group = Pm-3n (223)
1.0
7.6670 0.0000 0.0000
0.0000 7.6670 0.0000
0.0000 0.0000 7.6670
Au Sb K
6 6 2
direct
0.5000 0.7500 0.0000
0.5000 0.2500 0.0000
0.2500 0.0000 0.5000
0.0000 0.5000 0.7500
0.7500 0.0000 0.5000
0.0000 0.5000 0.2500
0.5000 0.0000 0.2500
0.0000 0.2500 0.5000
0.7500 0.5000 0.0000
0.2500 0.5000 0.0000
0.0000 0.7500 0.5000
0.5000 0.0000 0.7500
0.5000 0.5000 0.5000
0.0000 0.0000 0.0000



Best to worst by energy: x), w).



w) KSb4Au, relaxed, DFT PBE; space group = I4_1/a (88)
1.0
5.7613 0.0000 -1.5911
-0.4394 5.7445 -1.5910
0.2231 0.2409 12.0343
K Sb Au
2 8 2
direct
0.8750 0.6250 0.2500
0.1250 0.3750 0.7500
0.7741 0.7863 0.5417
0.7324 0.2446 0.4583
0.2863 0.7676 0.0417
0.2676 0.7554 0.5417
0.7137 0.2324 0.9583
0.2259 0.2137 0.4583
0.7446 0.7259 0.9583
0.2554 0.2741 0.0417
0.3750 0.1250 0.2500
0.6250 0.8750 0.7500



x) KSb4Au, relaxed, DFT PBE; space group = F-43m (216)
1.0
0.0000 4.5137 4.5137
4.5137 0.0000 4.5137
4.5137 4.5137 0.0000
Sb Au K
4 1 1
direct
0.3836 0.3836 0.8493
0.3836 0.8493 0.3836
0.3836 0.3836 0.3836
0.8493 0.3836 0.3836
0.7500 0.7500 0.7500
0.0000 0.0000 0.0000



Best to worst by energy: w), x).



w) K2SbAu2, relaxed, DFT PBE; space group = C2/c (15)
1.0
6.5449 0.0000 0.0000
-3.2725 5.3870 0.2569
0.0000 -2.0779 8.4263
Au K Sb
4 4 2
direct
0.9983 0.2736 0.9935
0.0017 0.7264 0.0065
0.2753 0.2736 0.4935
0.7247 0.7264 0.5065
0.5211 0.2948 0.1477
0.4789 0.7052 0.8523
0.2263 0.7052 0.3523
0.7737 0.2948 0.6477
0.8996 0.0000 0.2500
0.1004 0.0000 0.7500



x) K2SbAu2, relaxed, DFT PBE; space group = I4/mmm (139)
1.0
4.6116 0.0000 0.0000
0.0000 4.6116 0.0000
2.3058 2.3058 7.0701
K Au Sb
2 2 1
direct
0.2500 0.7500 0.5000
0.7500 0.2500 0.5000
0.4064 0.4064 0.1873
0.5936 0.5936 0.8127
0.0000 0.0000 0.0000



y) K2SbAu2, relaxed, DFT PBE; space group = P4/mbm (127)
1.0
7.3911 0.0000 0.0000
0.0000 7.3911 0.0000
0.0000 0.0000 5.3668
Sb Au K
2 4 4
direct
0.5000 0.5000 0.0000
0.0000 0.0000 0.0000
0.8625 0.6375 0.0000
0.1375 0.3625 0.0000
0.6375 0.1375 0.0000
0.3625 0.8625 0.0000
0.6753 0.8247 0.5000
0.3247 0.1753 0.5000
0.8247 0.3247 0.5000
0.1753 0.6753 0.5000



Best to worst by energy: w), y), x).



w) KSbAu4, relaxed, DFT PBE; space group = F-43m (216)
1.0
1.1573 -4.6139 -3.1768
-4.2500 -3.4001 -1.7597
-1.4730 -0.1104 -5.5261
Sb Au K
1 4 1
direct
0.0000 0.0000 0.0000
0.3751 0.3751 0.8748
0.8748 0.3751 0.3751
0.3751 0.3751 0.3751
0.3751 0.8748 0.3751
0.7500 0.7500 0.7500



x) KSbAu4, relaxed, DFT PBE; space group = Pmma (51)
1.0
-2.8691 1.4885 2.4528
-5.9789 -6.1423 -3.2662
2.2499 -5.2997 5.8479
Au K Sb
8 2 2
direct
0.5000 0.6243 0.4192
0.5000 0.3757 0.5808
0.5000 0.3757 0.9192
0.5000 0.0177 0.2500
0.0000 0.0000 0.5000
0.5000 0.9823 0.7500
0.5000 0.6243 0.0808
0.0000 0.0000 0.0000
0.0000 0.3380 0.2500
0.0000 0.6620 0.7500
0.0000 0.2092 0.7500
0.0000 0.7908 0.2500



Best to worst by energy: w), x).